[1]
An optimized crystal structure of TlHgTe2, computed with PBE-GGA.

Unit cell a=5.494 b=5.494 c=5.494 alpha=60.00 beta=60.00 gamma=60.00
Positions (direct):
Hg1 0.500 0.500 0.500
Te1 0.000 0.000 0.000
Te2 0.250 0.250 0.250
Tl1 0.750 0.750 0.750

VASP energy = -2.16 eV per atom
crystal system = cubic

---

[2]
An optimized crystal structure of TmTlHgTe3, computed with PBE-GGA.

Unit cell a=15.240 b=4.436 c=11.805 alpha=90.00 beta=90.00 gamma=90.00
Positions (direct):
Hg1 0.979 0.750 0.105
Hg2 0.479 0.750 0.395
Hg3 0.521 0.250 0.605
Hg4 0.021 0.250 0.895
Te1 0.600 0.750 0.079
Te2 0.101 0.250 0.128
Te3 0.345 0.750 0.229
Te4 0.845 0.750 0.271
Te5 0.601 0.250 0.372
Te6 0.100 0.750 0.421
Te7 0.900 0.250 0.579
Te8 0.399 0.750 0.628
Te9 0.155 0.250 0.729
Te10 0.655 0.250 0.771
Te11 0.899 0.750 0.872
Te12 0.400 0.250 0.921
Tl1 0.764 0.250 0.053
Tl2 0.264 0.250 0.447
Tl3 0.736 0.750 0.553
Tl4 0.236 0.750 0.947
Tm1 0.475 0.250 0.156
Tm2 0.975 0.250 0.344
Tm3 0.025 0.750 0.656
Tm4 0.525 0.750 0.844

relative energy among the computed polymorphs = 7.4 meV/atom
crystal system = orthorhombic

---

[3]
An optimized crystal structure of TmTlHgTe3, computed with PBE-GGA.

Unit cell a=8.879 b=4.676 c=18.344 alpha=90.00 beta=90.00 gamma=90.00
Positions (direct):
Hg1 0.566 0.750 0.161
Hg2 0.066 0.750 0.339
Hg3 0.934 0.250 0.661
Hg4 0.434 0.250 0.839
Te1 0.875 0.750 0.056
Te2 0.496 0.250 0.072
Te3 0.226 0.750 0.205
Te4 0.726 0.750 0.295
Te5 0.996 0.250 0.428
Te6 0.375 0.750 0.444
Te7 0.625 0.250 0.556
Te8 0.004 0.750 0.572
Te9 0.274 0.250 0.705
Te10 0.774 0.250 0.795
Te11 0.504 0.750 0.928
Te12 0.125 0.250 0.944
Tl1 0.933 0.250 0.195
Tl2 0.433 0.250 0.305
Tl3 0.567 0.750 0.695
Tl4 0.067 0.750 0.805
Tm1 0.228 0.750 0.039
Tm2 0.728 0.750 0.461
Tm3 0.272 0.250 0.539
Tm4 0.772 0.250 0.961

relative energy among the computed polymorphs = 93.4 meV/atom
crystal system = orthorhombic

---

[4]
An optimized crystal structure of TmTlHgTe3, computed with PBE-GGA.

Unit cell a=11.682 b=4.448 c=14.933 alpha=90.00 beta=90.00 gamma=90.00
Positions (direct):
Hg1 0.759 0.000 0.211
Hg2 0.259 0.000 0.289
Hg3 0.741 0.500 0.711
Hg4 0.241 0.500 0.789
Te1 0.561 0.000 0.104
Te2 0.971 0.000 0.118
Te3 0.267 0.500 0.166
Te4 0.767 0.500 0.334
Te5 0.471 0.000 0.382
Te6 0.061 0.000 0.396
Te7 0.939 0.500 0.604
Te8 0.529 0.500 0.618
Te9 0.233 0.000 0.666
Te10 0.733 0.000 0.834
Te11 0.029 0.500 0.882
Te12 0.439 0.500 0.896
Tl1 0.779 0.500 0.010
Tl2 0.279 0.500 0.490
Tl3 0.721 0.000 0.510
Tl4 0.221 0.000 0.990
Tm1 0.519 0.500 0.244
Tm2 0.019 0.500 0.256
Tm3 0.981 0.000 0.744
Tm4 0.481 0.000 0.756

relative energy among the computed polymorphs = 4.2 meV/atom
crystal system = orthorhombic

---

[5]
An optimized crystal structure of TmTlHgTe3, computed with PBE-GGA.

Unit cell a=9.985 b=9.985 c=9.557 alpha=102.06 beta=102.06 gamma=25.29
Positions (direct):
Hg1 0.464 0.464 0.278
Hg2 0.536 0.536 0.722
Te1 0.500 0.500 0.000
Te2 0.313 0.313 0.185
Te3 0.667 0.667 0.365
Te4 0.000 0.000 0.500
Te5 0.333 0.333 0.635
Te6 0.687 0.687 0.815
Tl1 0.133 0.133 0.076
Tl2 0.867 0.867 0.924
Tm1 0.825 0.825 0.414
Tm2 0.175 0.175 0.586

relative energy among the computed polymorphs = 58.0 meV/atom
crystal system = monoclinic

---

[6]
An optimized crystal structure of TmTlHgTe3, computed with PBE-GGA.

Unit cell a=11.556 b=4.417 c=15.186 alpha=90.00 beta=90.00 gamma=90.00
Positions (direct):
Hg1 0.243 0.250 0.211
Hg2 0.743 0.250 0.289
Hg3 0.257 0.750 0.711
Hg4 0.757 0.750 0.789
Te1 0.446 0.250 0.109
Te2 0.034 0.250 0.115
Te3 0.738 0.750 0.167
Te4 0.238 0.750 0.333
Te5 0.534 0.250 0.385
Te6 0.946 0.250 0.391
Te7 0.054 0.750 0.609
Te8 0.466 0.750 0.615
Te9 0.762 0.250 0.667
Te10 0.262 0.250 0.833
Te11 0.966 0.750 0.885
Te12 0.554 0.750 0.891
Tl1 0.236 0.750 0.011
Tl2 0.736 0.750 0.489
Tl3 0.264 0.250 0.511
Tl4 0.764 0.250 0.989
Tm1 0.488 0.750 0.248
Tm2 0.988 0.750 0.252
Tm3 0.012 0.250 0.748
Tm4 0.512 0.250 0.752

relative energy among the computed polymorphs = 1.8 meV/atom
crystal system = orthorhombic

---

Please write out number 1 again, unchanged.
An optimized crystal structure of TlHgTe2, computed with PBE-GGA.

Unit cell a=5.494 b=5.494 c=5.494 alpha=60.00 beta=60.00 gamma=60.00
Positions (direct):
Hg1 0.500 0.500 0.500
Te1 0.000 0.000 0.000
Te2 0.250 0.250 0.250
Tl1 0.750 0.750 0.750

VASP energy = -2.16 eV per atom
crystal system = cubic